## GeMoSe2O (SCAN)

Data for a crystal of GeMoSe2O relaxed with PBEsol.

Calculated values
The value obtained for the energy relative to the elements, uncorrected is 0.5819 eV per atom. Its symmetry is P4/mmm. The density of states at the Fermi level is 0.415 states/eV per atom. As for the theoretical density: 7.09 Mg/m³.

```
5
Lattice="-2.8875 -0.1682 -3.0731 -0.9003 -4.1285 1.0719 -3.0491 1.3890 2.7889" Properties=species:S:1:pos:R:3 pbc="T T T"
Se -0.4501 -2.0642 0.5359
Se -1.5245 0.6945 1.3944
O 0.0000 0.0000 0.0000
Mo -3.4184 -1.4539 0.3938
Ge -1.4437 -0.0841 -1.5366
```